NdDy2Ga2 (PBE, relaxed); energy of formation = -0.381 eV per atom; magnetic moment = 0.000 μB per formula unit; VASP energy = -21.9 eV per formula unit
1.0
-2.9378 -1.1599 -2.0940
3.3274 -4.2108 -2.3356
-1.0136 -2.2392 6.0913
Nd Ga Dy
1 2 2
Cartesian
0.0000 0.0000 0.0000
1.5001 -5.3874 0.8796
-2.1241 -2.2226 0.7820
-0.2628 -3.7557 -0.9800
-0.3613 -3.8542 2.6416